Rb2Na16Ca | PBE | optimized geometry

Geometry as POSCAR:
```
Rb2Na16Ca
1.0
6.192 3.575 6.162
-6.192 3.575 6.162
0.000 -7.150 6.162
Rb Na Ca
2 16 1
Cartesian
0.000 0.000 0.000 Rb
0.000 0.000 5.862 Rb
0.000 -3.641 3.239 Na
-3.153 1.820 3.239 Na
-3.082 -1.780 9.106 Na
0.000 -3.542 8.815 Na
-3.068 1.771 8.815 Na
-1.786 -3.097 12.187 Na
-3.575 0.002 12.187 Na
3.153 1.820 3.239 Na
0.000 0.000 10.286 Na
3.082 -1.780 9.106 Na
1.786 -3.097 12.187 Na
0.000 3.559 9.106 Na
-1.789 3.096 12.187 Na
3.068 1.771 8.815 Na
3.575 0.002 12.187 Na
1.789 3.096 12.187 Na
0.000 0.000 13.913 Ca
```

Values from the calculation:
**Total energy**: -24.45 eV per formula unit
**Fermi-level density of states**: 9.11 states/eV per cell
**Symmetry**: R3m (160)